## KBi3Pt3 (PBE)

Data for a relaxed structure of KBi3Pt3.

a = 7.7382 Å, b = 7.7382 Å, c = 24.9305 Å
α = 90.00°, β = 90.00°, γ = 120.00°
Closest atoms and distances in Å follow each position.
Space group R-3 (No. 148, hexagonal axes)
Symmetry-distinct sites (fractional):
K  0.0000  0.0000  0.1564 [6 per cell]  6 Bi 3.59-3.65, 3 Pt 3.74
Bi  0.0100  0.6327  0.0703 [18 per cell]  4 Pt 2.71-2.77
Pt  0.0064  0.7088  0.9626 [18 per cell]  4 Bi 2.71-2.77, 2 Pt 2.94

Computed properties:
* calculated volume: 1292.8 Å³ per cell
* formation energy from the elements: -178 meV per atom
* crystal system: trigonal
* magnetization: 0.0 μB per formula unit